{"formula": "ReNiRh", "functional": "PBE", "state": "optimized geometry", "e_tot_ev_per_atom": -8.4995, "crystal_system": "trigonal", "cell": [[2.699, 0.000, 0.000], [-1.349, 2.337, 0.000], [0.000, 0.000, 6.463]], "species": ["Re", "Ni", "Rh"], "frac_coords": [[0.000, 0.000, 0.000], [0.333, 0.667, 0.678], [0.667, 0.333, 0.343]]}